# 1
10
Lattice="2.470 -6.244 0.000 2.470 6.244 0.000 0.000 0.000 4.711" Properties=species:S:1:pos:R:3 comment="SrLiH3 (GGA-PBE, optimized geometry)" n_ef_per_ev_atom=0.000 crystal_system=orthorhombic total_magnetization_mub_per_cell=0.0 volume_a3_per_atom=14.5 sg=Cmcm e_above_lowest_polymorph_mev_per_atom=235 pbc="T T T"
Li 2.470 -5.119 3.533
H 3.633 2.264 3.533
H 0.000 0.000 2.356
Sr 2.470 1.933 1.178
Li 2.470 5.119 1.178
H 1.307 2.264 3.533
H 1.307 -2.264 1.178
H 3.633 -2.264 1.178
H 0.000 0.000 0.000
Sr 2.470 -1.933 3.533

---

# 2
10
Lattice="4.315 -2.491 0.000 0.000 4.982 0.000 0.000 0.000 16.852" Properties=species:S:1:pos:R:3 comment="TlSnCl3 (GGA-PBE, optimized geometry)" raw_formation_energy_ev_per_fu=-4.21 n_ef_per_ev_atom=0.000 crystal_system=hexagonal total_magnetization_mub_per_cell=0.0 volume_a3_per_atom=36.2 sg=P6_3/mmc pbc="T T T"
Cl 0.000 0.000 12.639
Cl 2.877 0.000 7.490
Tl 1.438 2.491 12.639
Cl 0.000 0.000 4.213
Sn 0.000 0.000 0.000
Tl 2.877 0.000 4.213
Cl 1.438 2.491 15.916
Cl 1.438 2.491 9.363
Sn 0.000 0.000 8.426
Cl 2.877 0.000 0.937

---

# 3
3
Lattice="5.798 -0.005 0.000 4.083 4.116 0.000 -4.941 -2.056 2.232" Properties=species:S:1:pos:R:3 comment="CaMnBe (GGA-PBE, optimized geometry)" ef_mev_per_atom=369 n_ef_per_ev_atom=0.597 crystal_system=tetragonal total_magnetization_mub_per_cell=3.1 volume_a3_per_atom=17.8 sg=I4mm e_above_lowest_polymorph_mev_per_atom=0 pbc="T T T"
Ca 3.336 1.388 0.000
Mn 6.122 2.547 0.000
Be 0.423 0.176 0.000

---

# 4
14
Lattice="8.360 0.000 0.000 4.180 7.240 0.000 4.180 2.413 6.814" Properties=species:S:1:pos:R:3 comment="SrPm4SmS8 (GGA-PBE, optimized geometry)" raw_formation_energy_ev_per_fu=-27.71 n_ef_per_ev_atom=0.246 crystal_system=trigonal total_magnetization_mub_per_cell=0.0 volume_a3_per_atom=29.5 sg=R3m pbc="T T T"
S 10.586 6.112 1.748
S 12.540 7.240 4.952
Pm 6.240 1.224 3.419
Pm 2.119 1.224 3.419
S 6.054 3.495 5.034
S 8.360 7.489 5.034
Sm 4.180 2.413 6.777
Pm 4.180 4.793 3.419
S 4.180 2.413 1.961
S 8.360 2.256 1.748
Pm 8.360 4.826 0.853
S 10.666 3.495 5.034
S 6.134 6.112 1.748
Sr 8.360 4.826 5.960